Crystalline Li3PPd4 at its relaxed geometry, computed with PBE-GGA.

Calculated values
Polymorph energy (0 for the lowest one)   0 meV/atom
Energy of formation   -0.535 eV/atom
Volume   13.8 Å³ per atom

Unit cell a=8.633 b=5.023 c=5.104 alpha=90.00 beta=90.00 gamma=90.00
Atoms (fractional coordinates):
Li1 0.000 0.207 0.000
Li2 0.243 0.442 0.855
Li3 0.257 0.558 0.355
Li4 0.500 0.793 0.500
Li5 0.743 0.558 0.355
Li6 0.757 0.442 0.855
P1 0.000 0.717 0.616
P2 0.500 0.283 0.116
Pd1 0.000 0.264 0.492
Pd2 0.000 0.733 0.141
Pd3 0.224 0.930 0.742
Pd4 0.276 0.070 0.242
Pd5 0.500 0.267 0.641
Pd6 0.500 0.736 0.992
Pd7 0.724 0.070 0.242
Pd8 0.776 0.930 0.742